B2Te2As | PBE | relaxed

Results
**Energy relative to the elements, uncorrected**: 1.285 eV per atom
**E_tot**: -3.5726 eV/atom
**DOS at the Fermi energy**: 6.21 states/eV per cell
**M_tot**: 0.00 μB per atom

abc: 7.824 7.824 3.440
angles: 90.00 90.00 90.00
Positions (direct):
Te  0.335  0.835  0.000
Te  0.665  0.165  0.000
Te  0.165  0.335  0.000
Te  0.835  0.665  0.000
B  0.298  0.202  0.500
B  0.798  0.298  0.500
B  0.702  0.798  0.500
B  0.202  0.702  0.500
As  0.500  0.500  0.000
As  0.000  0.000  0.000



BTeAs2 | PBE | relaxed

Results
**Energy relative to the elements, uncorrected**: 1.240 eV per atom
**E_tot**: -3.5398 eV/atom
**DOS at the Fermi energy**: 3.29 states/eV per cell
**M_tot**: 0.00 μB per atom

abc: 4.761 4.761 4.761
angles: 60.00 60.00 60.00
Positions (direct):
Te  0.500  0.500  0.500
B  0.000  0.000  0.000
As  0.750  0.750  0.750
As  0.250  0.250  0.250



B2TeAs | PBE | relaxed

Results
**Energy relative to the elements, uncorrected**: 1.632 eV per atom
**E_tot**: -3.6548 eV/atom
**DOS at the Fermi energy**: 1.64 states/eV per cell
**M_tot**: 0.00 μB per atom

abc: 4.369 4.369 4.369
angles: 60.00 60.00 60.00
Positions (direct):
Te  0.500  0.500  0.500
B  0.750  0.750  0.750
B  0.250  0.250  0.250
As  0.000  0.000  0.000



BTe2As | PBE | relaxed

Results
**Energy relative to the elements, uncorrected**: 0.771 eV per atom
**E_tot**: -3.6316 eV/atom
**DOS at the Fermi energy**: 2.41 states/eV per cell
**M_tot**: 0.00 μB per atom

abc: 8.884 8.884 8.884
angles: 22.60 22.60 22.60
Positions (direct):
Te  0.110  0.110  0.110
Te  0.890  0.890  0.890
B  0.500  0.500  0.500
As  0.000  0.000  0.000



BTeAs | PBE | relaxed

Results
**Energy relative to the elements, uncorrected**: 0.410 eV per atom
**E_tot**: -4.4125 eV/atom
**DOS at the Fermi energy**: 1.24 states/eV per cell
**M_tot**: 0.00 μB per atom

abc: 5.918 7.125 7.021
angles: 110.94 90.00 90.00
Positions (direct):
Te  0.751  0.992  0.401
Te  0.249  0.008  0.599
Te  0.251  0.008  0.099
Te  0.749  0.992  0.901
B  0.407  0.835  0.287
B  0.593  0.165  0.713
B  0.907  0.165  0.213
B  0.093  0.835  0.787
As  0.549  0.475  0.818
As  0.951  0.475  0.318
As  0.451  0.525  0.182
As  0.049  0.525  0.682



TiB2TeAs | PBE | relaxed

Results
**Energy relative to the elements, uncorrected**: 1.778 eV per atom
**E_tot**: -4.0305 eV/atom
**DOS at the Fermi energy**: 7.06 states/eV per cell
**M_tot**: 0.00 μB per atom

abc: 4.273 5.468 4.273
angles: 90.00 90.00 90.00
Positions (direct):
B  0.500  0.000  0.000
B  0.000  0.000  0.500
Ti  0.500  0.500  0.500
As  0.000  0.500  0.000
Te  0.000  0.000  0.000